(1)
Nd6HgTe3Rh2 after structural relaxation, computed with PBE-GGA.

The density of states at the Fermi level is 8.85 states/eV/f.u. As for the formation energy from raw total energies: -93.2 kJ per mole of atoms. The total energy is -5.386 eV per atom.

The space group is C2/m (No. 12) and the conventional cell measures 19.405, 4.259 and 9.167 Å, with angles of 90.00, 106.52 and 90.00 degrees. The asymmetric unit holds Nd at (0.017, 0.000, 0.261), Nd at (0.171, 0.500, 0.119), Nd at (0.178, 0.500, 0.566), Hg at (0.000, 0.500, 0.000), Te at (0.000, 0.500, 0.500), Te at (0.160, 0.000, 0.837) and Rh at (0.169, 0.000, 0.337).

=====

(2)
Li2Ga3Ag8 after structural relaxation, computed with PBE-GGA.

The density of states at the Fermi level is 4.62 states/eV/f.u. The calculated formation energy is -0.003 eV per atom. The total energy is -2.750 eV per atom.

The space group is C2/m (No. 12) and the conventional cell measures 11.650, 7.403 and 5.561 Å, with angles of 90.00, 99.16 and 90.00 degrees. The asymmetric unit holds Li at (0.200, 0.000, 0.265), Ga at (0.000, 0.000, 0.500), Ga at (0.000, 0.174, 0.000), Ag at (0.092, 0.500, 0.871), Ag at (0.118, 0.310, 0.428) and Ag at (0.203, 0.000, 0.777).

=====

(3)
Y2Be2Cd after structural relaxation, computed with PBE-GGA.

The density of states at the Fermi level is 5.93 states/eV/f.u. The calculated formation energy is -0.070 eV per atom. The total energy is -4.329 eV per atom.

The space group is P4/mbm (No. 127) and the conventional cell measures 7.048, 7.048 and 4.106 Å, with angles of 90.00, 90.00 and 90.00 degrees. The asymmetric unit holds Y at (0.174, 0.326, 0.000), Be at (0.112, 0.612, 0.500) and Cd at (0.000, 0.000, 0.500).

=====

(4)
Ho2PuTe5 after structural relaxation, computed with PBE-GGA.

The density of states at the Fermi level is 13.03 states/eV/f.u. As for the formation energy from raw total energies: -102.7 kJ per mole of atoms. The total energy is -5.964 eV per atom.

The space group is I4/mcm (No. 140) and the conventional cell measures 8.105, 8.105 and 14.166 Å, with angles of 90.00, 90.00 and 90.00 degrees. The asymmetric unit holds Ho at (0.152, 0.348, 0.000), Pu at (0.000, 0.000, 0.250), Te at (0.000, 0.000, 0.000) and Te at (0.158, 0.342, 0.351).